EuSnRh2: optimized geometry, GGA-PBE.

a = 3.3202 Å, b = 3.3202 Å, c = 7.0554 Å
α = 90.00°, β = 90.00°, γ = 90.00°
Last column: nearest neighbours and their distance in Å.
Space group P4/mmm (No. 123)
Asymmetric unit:
1 Eu 0.0000 0.0000 0.0000 x1  8 Rh 3.12, 4 Eu 3.32
2 Sn 0.0000 0.0000 0.5000 x1  8 Rh 2.77
3 Rh 0.5000 0.5000 0.2907 x2  4 Sn 2.77, 1 Rh 2.95

## Properties
The energy of formation is -0.433 eV per atom. Its crystal system is tetragonal. As for the spin magnetization: 6.82 μB/cell.